(1)
A plane-wave DFT calculation with GGA-PBE was carried out for an optimized crystal structure of NaTb2Tl3.

Cell: 3.7822 3.7822 11.6435 Å, 90.00 90.00 90.00°
With the nearest neighbours (Å) after each atom.
Element x y z (fractional)
Tb1 0.5000 0.5000 0.8314  8 Tl 3.26-3.32
Tb2 0.5000 0.5000 0.1686  8 Tl 3.26-3.32
Tl1 0.0000 0.0000 0.3287  4 Tb 3.26, 4 Na 3.34
Tl2 0.0000 0.0000 0.6713  4 Tb 3.26, 4 Na 3.34
Tl3 0.0000 0.0000 0.0000  8 Tb 3.32
Na1 0.5000 0.5000 0.5000  8 Tl 3.34

## Properties
- calculated density (g/cm³) = 9.511
- calculated volume (Å³ per atom) = 27.76
- E_form (eV per atom) = -0.260

(2)
A plane-wave DFT calculation with GGA-PBE was carried out for an optimized crystal structure of Na2TbTl3.

Cell: 3.7573 3.7573 11.8107 Å, 90.00 90.00 90.00°
With the nearest neighbours (Å) after each atom.
Element x y z (fractional)
Na1 0.5000 0.5000 0.1702  8 Tl 3.29-3.33
Na2 0.5000 0.5000 0.8298  8 Tl 3.29-3.33
Tl1 0.0000 0.0000 0.6650  4 Na 3.29, 4 Tb 3.30
Tl2 0.0000 0.0000 0.3350  4 Na 3.29, 4 Tb 3.30
Tl3 0.0000 0.0000 0.0000  8 Na 3.33
Tb1 0.5000 0.5000 0.5000  8 Tl 3.30

## Properties
- calculated density (g/cm³) = 8.147
- calculated volume (Å³ per atom) = 27.79
- E_form (eV per atom) = -0.181

(3)
A plane-wave DFT calculation with GGA-PBE was carried out for an optimized crystal structure of Na5TbTl6.

Cell: 5.2465 8.0061 8.3042 Å, 90.00 71.64 90.00°
With the nearest neighbours (Å) after each atom.
Element x y z (fractional)
Na1 0.3281 0.5000 0.3391  8 Tl 3.30-3.34, 2 Na 3.63-3.67
Na2 0.0000 0.5000 0.0000  8 Tl 3.30-3.33
Na3 0.3293 0.0000 0.3363  8 Tl 3.25-3.32
Na4 0.6719 0.5000 0.6609  8 Tl 3.30-3.34, 2 Na 3.63-3.67
Na5 0.6707 0.0000 0.6637  8 Tl 3.25-3.32
Tl1 0.5000 0.2491 0.0000  2 Tb 3.30, 6 Na 3.30-3.34
Tl2 0.5000 0.7509 0.0000  2 Tb 3.30, 6 Na 3.30-3.34
Tl3 0.1704 0.7564 0.6669  7 Na 3.25-3.34, 1 Tb 3.27
Tl4 0.1703 0.2436 0.6669  7 Na 3.25-3.34, 1 Tb 3.27
Tl5 0.8297 0.7564 0.3331  7 Na 3.25-3.34, 1 Tb 3.27
Tl6 0.8296 0.2436 0.3331  7 Na 3.25-3.34, 1 Tb 3.27
Tb1 0.0000 0.0000 0.0000  8 Tl 3.27-3.30

## Properties
- calculated density (g/cm³) = 7.525
- calculated volume (Å³ per atom) = 27.59
- E_form (eV per atom) = -0.139